Computed, not measured: a crystal of BeSb2OsI relaxed with PBEsol at the SCAN level of DFT.

Calculated values
**Space group**: P4/mmm, No. 123
**Formation energy (no corrections)**: 1.10 eV/atom

a = 4.994 Å, b = 4.994 Å, c = 5.696 Å
α = 90.00°, β = 90.00°, γ = 90.00°
Fractional coordinates of all 5 atoms:
Be: 0.000 0.000 0.000
Sb: 0.000 0.500 0.500
Sb: 0.500 0.000 0.500
Os: 0.500 0.500 0.500
I: 0.500 0.500 0.000